1.
The following is a PBE calculation of crystalline NaLi5I8 at its relaxed geometry, from Alexandria.

Properties
**Symmetry**: No. 216
**Density of states at the Fermi level**: 24.08 states/eV/cell
**Energy relative to the elements, uncorrected**: -0.89 eV/atom
**Crystal system**: cubic

```
NaLi5I8
1.0
-2.5964 -8.2204 -1.5062
4.7409 -5.2029 -5.1998
4.4756 -6.6982 3.4186
Na Li I
1 5 8
direct
0.2500 0.2500 0.2500
0.0000 0.0000 0.0000
0.6286 0.6286 0.1143
0.6286 0.6286 0.6286
0.1143 0.6286 0.6286
0.6286 0.1143 0.6286
0.3886 0.8343 0.3886
0.8343 0.3886 0.3886
0.3886 0.3886 0.3886
0.3886 0.3886 0.8343
0.8696 0.8696 0.3911
0.3911 0.8696 0.8696
0.8696 0.8696 0.8696
0.8696 0.3911 0.8696
```


2.
The following is a PBE calculation of crystalline NaLi2I at its relaxed geometry, from Alexandria.

Properties
**ΔE to the lowest computed polymorph**: 0.0 meV/atom
**Symmetry**: No. 122
**Density of states at the Fermi level**: 2.86 states/eV/cell
**Energy relative to the elements, uncorrected**: -0.35 eV/atom
**Crystal system**: tetragonal

```
NaLi2I
1.0
-4.8526 -6.1912 1.7305
6.2599 -4.0577 3.0366
-0.0574 -3.4723 6.1602
I Na Li
2 2 4
direct
0.0000 0.0000 0.0000
0.7500 0.2500 0.5000
0.5000 0.5000 0.0000
0.2500 0.7500 0.5000
0.6806 0.1250 0.2500
0.0694 0.6250 0.2500
0.3750 0.3194 0.7500
0.8750 0.9306 0.7500
```


3.
The following is a PBE calculation of crystalline Na2LiNdI6 at its relaxed geometry, from Alexandria.

Properties
**Symmetry**: No. 146
**Density of states at the Fermi level**: 0.00 states/eV/cell
**Energy relative to the elements, uncorrected**: -1.29 eV/atom
**Crystal system**: trigonal

```
Na2LiNdI6
1.0
-5.9587 3.9246 3.5044
-7.3928 -2.9078 -0.2931
-3.2653 -3.2739 7.1209
Na Li Nd I
2 1 1 6
direct
0.5179 0.5177 0.4469
0.0144 0.0143 0.9570
0.8180 0.8188 0.5443
0.3259 0.3258 0.0224
0.5918 0.2079 0.2621
0.2080 0.9384 0.2620
0.9385 0.5918 0.2618
0.4392 0.7179 0.7530
0.7180 0.0899 0.7530
0.0899 0.4393 0.7527
```


4.
The following is a PBE calculation of crystalline NaLi2NdI6 at its relaxed geometry, from Alexandria.

Properties
**Symmetry**: No. 146
**Density of states at the Fermi level**: 0.00 states/eV/cell
**Energy relative to the elements, uncorrected**: -1.27 eV/atom
**Crystal system**: trigonal

```
NaLi2NdI6
1.0
7.7610 0.0001 -0.0003
3.8805 6.7195 -0.0007
3.8798 2.2395 7.1116
Na Li Nd I
1 2 1 6
direct
0.8160 0.8160 0.5516
0.5088 0.5088 0.4741
0.0071 0.0073 0.9785
0.3232 0.3231 0.0304
0.6058 0.2447 0.2458
0.2447 0.9038 0.2459
0.9039 0.6058 0.2456
0.3855 0.7441 0.7478
0.7442 0.1226 0.7477
0.1226 0.3854 0.7478
```


5.
The following is a PBE calculation of crystalline Na2LiNpI6 at its relaxed geometry, from Alexandria.

Properties
**Symmetry**: No. 146
**Density of states at the Fermi level**: 3.97 states/eV/cell
**Energy relative to the elements, uncorrected**: -1.07 eV/atom
**Crystal system**: trigonal

```
Na2LiNpI6
1.0
-6.5968 3.8747 1.9535
-3.5560 -1.4818 6.8927
0.5728 5.9469 6.0974
Na Li Np I
2 1 1 6
direct
0.5171 0.5170 0.4490
0.0138 0.0137 0.9589
0.8209 0.8212 0.5369
0.3268 0.3268 0.0195
0.5880 0.2062 0.2640
0.2062 0.9417 0.2640
0.9417 0.5881 0.2640
0.4407 0.7164 0.7530
0.7165 0.0898 0.7530
0.0899 0.4407 0.7530
```


6.
The following is a PBE calculation of crystalline NaLi2NpI6 at its relaxed geometry, from Alexandria.

Properties
**Symmetry**: No. 146
**Density of states at the Fermi level**: 4.17 states/eV/cell
**Energy relative to the elements, uncorrected**: -1.05 eV/atom
**Crystal system**: trigonal

```
NaLi2NpI6
1.0
7.7119 -0.0001 0.0000
3.8558 6.6791 -0.0003
3.8553 2.2263 7.1703
Na Li Np I
1 2 1 6
direct
0.8173 0.8174 0.5479
0.5079 0.5078 0.4763
0.0062 0.0060 0.9820
0.3249 0.3249 0.0254
0.6014 0.2446 0.2476
0.2445 0.9066 0.2475
0.9065 0.6014 0.2476
0.3862 0.7440 0.7469
0.7440 0.1229 0.7470
0.1229 0.3862 0.7470
```


7.
The following is a PBE calculation of crystalline Na2Li3IO6 at its relaxed geometry, from Alexandria.

Properties
**Symmetry**: No. 12
**Density of states at the Fermi level**: 0.00 states/eV/cell
**Energy relative to the elements, uncorrected**: -1.43 eV/atom
**Crystal system**: monoclinic

```
Na2Li3IO6
1.0
5.7428 -0.1006 0.0051
-2.9572 4.9240 0.0051
-0.9256 -1.6027 4.8877
Na Li I O
2 3 1 6
direct
0.3281 0.6719 0.0000
0.6719 0.3281 0.0000
0.1313 0.8687 0.5000
0.8687 0.1313 0.5000
0.5000 0.5000 0.5000
0.0000 0.0000 0.0000
0.9234 0.6571 0.7596
0.7883 0.7883 0.2191
0.0766 0.3429 0.2404
0.6571 0.9234 0.7596
0.2117 0.2117 0.7809
0.3429 0.0766 0.2404
```


8.
The following is a PBE calculation of crystalline NaLiIO2 at its relaxed geometry, from Alexandria.

Properties
**ΔE to the lowest computed polymorph**: 203.1 meV/atom
**Symmetry**: No. 123
**Density of states at the Fermi level**: 1.91 states/eV/cell
**Energy relative to the elements, uncorrected**: -0.10 eV/atom
**Crystal system**: tetragonal

```
NaLiIO2
1.0
-2.9525 3.2495 0.6881
0.1548 -0.7851 4.3715
4.7042 4.1516 0.5791
I Na O Li
1 1 2 1
direct
0.0000 0.0000 0.5000
0.0000 0.0000 0.0000
0.0000 0.5000 0.0000
0.5000 0.0000 0.0000
0.5000 0.5000 0.5000
```


9.
The following is a PBE calculation of crystalline NaLi2IO at its relaxed geometry, from Alexandria.

Properties
**Symmetry**: No. 123
**Density of states at the Fermi level**: 0.00 states/eV/cell
**Energy relative to the elements, uncorrected**: -1.37 eV/atom
**Crystal system**: tetragonal

```
NaLi2IO
1.0
4.2205 0.0000 0.0000
0.0000 4.2205 0.0000
0.0000 0.0000 4.7735
I Na O Li
1 1 1 2
direct
0.5000 0.5000 0.5000
0.0000 0.0000 0.5000
0.0000 0.0000 0.0000
0.0000 0.5000 0.0000
0.5000 0.0000 0.0000
```


10.
The following is a PBE calculation of crystalline NaLi2IO4 at its relaxed geometry, from Alexandria.

Properties
**Symmetry**: No. 74
**Density of states at the Fermi level**: 0.08 states/eV/cell
**Energy relative to the elements, uncorrected**: -1.09 eV/atom
**Crystal system**: orthorhombic

```
NaLi2IO4
1.0
6.3616 0.1355 -0.0035
0.1310 6.3617 -0.0035
-3.1805 -3.1827 4.5912
Na Li I O
2 4 2 8
direct
0.0000 0.5000 0.0000
0.0000 0.5000 0.5000
0.5000 0.0000 0.0000
0.5000 0.0000 0.5000
0.0000 0.0000 0.5000
0.5000 0.5000 0.0000
0.5000 0.5000 0.5000
0.0000 0.0000 0.0000
0.2407 0.7809 0.0110
0.7191 0.2593 0.4890
0.2809 0.7407 0.5110
0.7593 0.2191 0.9890
0.7416 0.7589 0.9893
0.7411 0.7584 0.5107
0.2589 0.2416 0.4893
0.2584 0.2411 0.0107
```


11.
The following is a PBE calculation of crystalline Na3Li2IO6 at its relaxed geometry, from Alexandria.

Properties
**Symmetry**: No. 12
**Density of states at the Fermi level**: 0.00 states/eV/cell
**Energy relative to the elements, uncorrected**: -1.40 eV/atom
**Crystal system**: monoclinic

```
Na3Li2IO6
1.0
-0.0713 1.2786 5.2239
-4.3916 -2.1182 -2.2708
3.2607 -4.6115 0.2104
Na Li I O
3 2 1 6
direct
0.1764 0.8236 0.5000
0.8236 0.1764 0.5000
0.5000 0.5000 0.5000
0.3340 0.6660 0.0000
0.6660 0.3340 0.0000
0.0000 0.0000 0.0000
0.9333 0.6374 0.7942
0.7753 0.7753 0.2000
0.0667 0.3626 0.2058
0.6374 0.9333 0.7942
0.2247 0.2247 0.8000
0.3626 0.0667 0.2058
```


12.
The following is a PBE calculation of crystalline NaLiIO2 at its relaxed geometry, from Alexandria.

Properties
**ΔE to the lowest computed polymorph**: 0.0 meV/atom
**Symmetry**: No. 123
**Density of states at the Fermi level**: 2.63 states/eV/cell
**Energy relative to the elements, uncorrected**: -0.30 eV/atom
**Crystal system**: tetragonal

```
NaLiIO2
1.0
4.2181 0.0000 0.0000
0.0000 4.2181 0.0000
0.0000 0.0000 5.5809
I Na O Li
1 1 2 1
direct
0.0000 0.0000 0.5000
0.5000 0.5000 0.5000
0.0000 0.5000 0.0000
0.5000 0.0000 0.0000
0.0000 0.0000 0.0000
```